MgBe2Sb2 | meta-GGA SCAN | single point on PBEsol structure

Calculated values
- Formation energy (no corrections): 0.1944 eV/atom
- Space group: No. 139

a = 3.7414 Å, b = 3.7414 Å, c = 14.2163 Å
α = 90.00°, β = 90.00°, γ = 90.00°
Last column: nearest neighbours and their distance in Å.
Sites, in units of the cell vectors:
Mg (0.0000, 0.0000, 0.0000)  8 Sb 3.25
Mg (0.5000, 0.5000, 0.5000)  8 Sb 3.25
Be (0.0000, 0.5000, 0.2500)  4 Sb 2.51, 4 Be 2.65
Be (0.0000, 0.5000, 0.7500)  4 Sb 2.51, 4 Be 2.65
Be (0.5000, 0.0000, 0.2500)  4 Sb 2.51, 4 Be 2.65
Be (0.5000, 0.0000, 0.7500)  4 Sb 2.51, 4 Be 2.65
Sb (0.0000, 0.0000, 0.3677)  4 Be 2.51
Sb (0.0000, 0.0000, 0.6323)  4 Be 2.51
Sb (0.5000, 0.5000, 0.1323)  4 Be 2.51
Sb (0.5000, 0.5000, 0.8677)  4 Be 2.51



CaP2H4O4 | meta-GGA SCAN | single point on PBEsol structure

Calculated values
- Space group: No. 15

a = 8.0321 Å, b = 8.0321 Å, c = 6.5259 Å
α = 101.01°, β = 101.01°, γ = 41.43°
Last column: nearest neighbours and their distance in Å.
Sites, in units of the cell vectors:
Ca (0.1666, 0.8334, 0.7500)  6 O 2.27-2.37
Ca (0.8334, 0.1666, 0.2500)  6 O 2.27-2.37
P (0.1757, 0.5383, 0.2804)  2 H 1.43, 2 O 1.51-1.53
P (0.4617, 0.8243, 0.2196)  2 H 1.43, 2 O 1.51-1.53
P (0.5383, 0.1757, 0.7804)  2 H 1.43, 2 O 1.51-1.53
P (0.8243, 0.4617, 0.7196)  2 H 1.43, 2 O 1.51-1.53
H (0.0574, 0.5934, 0.0734)  1 P 1.43
H (0.0940, 0.4626, 0.3709)  1 P 1.43
H (0.4066, 0.9426, 0.4266)  1 P 1.43
H (0.4626, 0.0940, 0.8709)  1 P 1.43
H (0.5374, 0.9060, 0.1291)  1 P 1.43
H (0.5934, 0.0574, 0.5734)  1 P 1.43
H (0.9060, 0.5374, 0.6291)  1 P 1.43
H (0.9426, 0.4066, 0.9266)  1 P 1.43
O (0.0617, 0.7876, 0.3953)  1 P 1.53
O (0.2124, 0.9383, 0.1047)  1 P 1.53
O (0.3191, 0.4588, 0.7701)  1 P 1.51
O (0.4588, 0.3191, 0.2701)  1 P 1.51
O (0.5412, 0.6809, 0.7299)  1 P 1.51
O (0.6809, 0.5412, 0.2299)  1 P 1.51
O (0.7876, 0.0617, 0.8953)  1 P 1.53
O (0.9383, 0.2124, 0.6047)  1 P 1.53



Li2AsRu | meta-GGA SCAN | single point on PBEsol structure

Calculated values
- Calculated formation energy: -0.33 eV/atom
- Space group: No. 8

a = 8.5755 Å, b = 3.0347 Å, c = 4.5867 Å
α = 90.00°, β = 111.48°, γ = 90.00°
Last column: nearest neighbours and their distance in Å.
Sites, in units of the cell vectors:
Li (0.0000, 0.0000, 0.0000)  3 Li 2.38-2.58, 2 As 2.57
Li (0.2389, 0.0000, 0.8546)  3 Li 2.38-2.58
Li (0.5000, 0.5000, 0.0000)  3 Li 2.38-2.58, 2 As 2.57
Li (0.7389, 0.5000, 0.8546)  3 Li 2.38-2.58
As (0.4916, 0.0000, 0.4449)  3 Ru 2.39-2.47, 2 Li 2.57
As (0.9916, 0.5000, 0.4449)  3 Ru 2.39-2.47, 2 Li 2.57
Ru (0.2686, 0.5000, 0.3953)  3 As 2.39-2.47
Ru (0.7686, 0.0000, 0.3953)  3 As 2.39-2.47



LiRh2 | meta-GGA SCAN | single point on PBEsol structure

Calculated values
- Calculated formation energy: -0.07 eV/atom
- Space group: No. 71

a = 2.6681 Å, b = 3.7818 Å, c = 7.5962 Å
α = 90.00°, β = 90.00°, γ = 90.00°
Last column: nearest neighbours and their distance in Å.
Sites, in units of the cell vectors:
Li (0.0000, 0.0000, 0.0000)  10 Rh 2.52-2.64, 2 Li 2.67
Li (0.5000, 0.5000, 0.5000)  10 Rh 2.52-2.64, 2 Li 2.67
Rh (0.0000, 0.0000, 0.3317)  5 Li 2.52-2.64, 7 Rh 2.56-2.67
Rh (0.0000, 0.0000, 0.6683)  5 Li 2.52-2.64, 7 Rh 2.56-2.67
Rh (0.5000, 0.5000, 0.1683)  5 Li 2.52-2.64, 7 Rh 2.56-2.67
Rh (0.5000, 0.5000, 0.8317)  5 Li 2.52-2.64, 7 Rh 2.56-2.67



| no. | volume (A^3/atom) | calculated total energy (eV/atom) | D(E_F) (states/eV per atom) |
| --- | --- | --- | --- |
| 1 | 19.900 | -17.446 | 0.410 |
| 2 | 12.396 | -7.954 | 0.000 |
| 3 | 13.884 | -15.283 | 0.612 |
| 4 | 12.774 | -23.384 | 0.784 |